[1]
Below is MgAgPb2 after structural relaxation, with properties calculated at the PBE level. Values from VASP.

Geometry as Quantum ESPRESSO input:
```
&SYSTEM
  ibrav = 0, nat = 4, ntyp = 3
/
ATOMIC_SPECIES
Pb 207.20 Pb.upf
Mg 24.30 Mg.upf
Ag 107.87 Ag.upf
CELL_PARAMETERS angstrom
-0.346 3.006 -1.930
-2.344 0.328 -2.697
-7.573 4.349 4.541
ATOMIC_POSITIONS crystal
Pb 0.254 0.254 0.242
Mg 0.491 0.491 0.500
Ag 0.670 0.670 0.000
Pb 0.085 0.085 0.758
```


[2]
Below is InFe2Hg after structural relaxation, with properties calculated at the PBE level. Values from VASP.

distance to the lowest polymorph of the same formula: 148 meV/atom

Geometry as Quantum ESPRESSO input:
```
&SYSTEM
  ibrav = 0, nat = 4, ntyp = 3
/
ATOMIC_SPECIES
Fe 55.84 Fe.upf
In 114.82 In.upf
Hg 200.59 Hg.upf
CELL_PARAMETERS angstrom
4.960 -0.015 -0.029
-1.637 4.682 -0.029
0.016 0.023 2.888
ATOMIC_POSITIONS crystal
Fe 0.500 0.500 0.000
In 0.000 0.500 0.500
Fe 0.000 0.000 0.000
Hg 0.500 0.000 0.500
```


Number 1: energy -2.90 eV per atom, spin magnetization 0.00 μB/f.u.. Number 2: energy -4.59 eV per atom, spin magnetization 5.26 μB/f.u..